<i>
Material: LuHf3
Method: DFT, GGA-PBE
State: relaxed

Structure (CIF):
```
data_LuHf3
_chemical_formula_sum 'Lu1 Hf3'
_space_group_name_H-M_alt 'P 1'
_space_group_IT_number 1
_cell_length_a 3.250
_cell_length_b 5.117
_cell_length_c 5.687
_cell_angle_alpha 90.00
_cell_angle_beta 90.00
_cell_angle_gamma 90.00
loop_
_space_group_symop_operation_xyz
'x,y,z'
loop_
_atom_site_label
_atom_site_type_symbol
_atom_site_fract_x
_atom_site_fract_y
_atom_site_fract_z
_atom_site_occupancy
Lu1 Lu 0.000 0.500 0.330 1
Hf1 Hf 0.000 0.000 0.991 1
Hf2 Hf 0.500 0.000 0.513 1
Hf3 Hf 0.500 0.500 0.832 1
```

***

<ii>
Material: LuHf3
Method: DFT, GGA-PBE
State: relaxed

Structure (CIF):
```
data_LuHf3
_chemical_formula_sum 'Lu1 Hf3'
_space_group_name_H-M_alt 'P 1'
_space_group_IT_number 1
_cell_length_a 4.552
_cell_length_b 4.552
_cell_length_c 4.552
_cell_angle_alpha 90.00
_cell_angle_beta 90.00
_cell_angle_gamma 90.00
loop_
_space_group_symop_operation_xyz
'x,y,z'
loop_
_atom_site_label
_atom_site_type_symbol
_atom_site_fract_x
_atom_site_fract_y
_atom_site_fract_z
_atom_site_occupancy
Lu1 Lu 0.000 0.000 0.000 1
Hf1 Hf 0.000 0.500 0.500 1
Hf2 Hf 0.500 0.000 0.500 1
Hf3 Hf 0.500 0.500 0.000 1
```

***

Taking the most stable structure as the zero point, the relative energies in kJ/mol of atoms are <i> 0.0; <ii> 9.4.

***

<i>
Material: LuHf3
Method: DFT, GGA-PBE
State: relaxed

Structure (CIF):
```
data_LuHf3
_chemical_formula_sum 'Lu1 Hf3'
_space_group_name_H-M_alt 'P 1'
_space_group_IT_number 1
_cell_length_a 4.564
_cell_length_b 4.564
_cell_length_c 5.560
_cell_angle_alpha 114.23
_cell_angle_beta 114.23
_cell_angle_gamma 90.00
loop_
_space_group_symop_operation_xyz
'x,y,z'
loop_
_atom_site_label
_atom_site_type_symbol
_atom_site_fract_x
_atom_site_fract_y
_atom_site_fract_z
_atom_site_occupancy
Lu1 Lu 0.000 0.000 0.000 1
Hf1 Hf 0.750 0.250 0.500 1
Hf2 Hf 0.250 0.750 0.500 1
Hf3 Hf 0.500 0.500 0.000 1
```

***

<ii>
Material: LuHf3
Method: DFT, GGA-PBE
State: relaxed

Structure (CIF):
```
data_LuHf3
_chemical_formula_sum 'Lu1 Hf3'
_space_group_name_H-M_alt 'P 1'
_space_group_IT_number 1
_cell_length_a 3.255
_cell_length_b 5.665
_cell_length_c 6.077
_cell_angle_alpha 117.78
_cell_angle_beta 105.54
_cell_angle_gamma 90.00
loop_
_space_group_symop_operation_xyz
'x,y,z'
loop_
_atom_site_label
_atom_site_type_symbol
_atom_site_fract_x
_atom_site_fract_y
_atom_site_fract_z
_atom_site_occupancy
Lu1 Lu 0.000 0.000 0.000 1
Hf1 Hf 0.247 0.580 0.495 1
Hf2 Hf 0.500 0.502 0.000 1
Hf3 Hf 0.753 0.085 0.505 1
```

***

Taking the most stable structure as the zero point, the relative energies in kJ/mol of atoms are <i> 8.7; <ii> 0.0.

***

<i>
Material: LuHfMg2
Method: DFT, GGA-PBE
State: relaxed

Structure (CIF):
```
data_LuHfMg2
_chemical_formula_sum 'Lu1 Hf1 Mg2'
_space_group_name_H-M_alt 'P 1'
_space_group_IT_number 1
_cell_length_a 3.561
_cell_length_b 3.561
_cell_length_c 7.380
_cell_angle_alpha 90.00
_cell_angle_beta 90.00
_cell_angle_gamma 90.00
loop_
_space_group_symop_operation_xyz
'x,y,z'
loop_
_atom_site_label
_atom_site_type_symbol
_atom_site_fract_x
_atom_site_fract_y
_atom_site_fract_z
_atom_site_occupancy
Mg1 Mg 0.000 0.000 0.766 1
Mg2 Mg 0.000 0.000 0.234 1
Lu1 Lu 0.500 0.500 0.500 1
Hf1 Hf 0.500 0.500 0.000 1
```

***

<ii>
Material: LuHfMg2
Method: DFT, GGA-PBE
State: relaxed

Structure (CIF):
```
data_LuHfMg2
_chemical_formula_sum 'Lu1 Hf1 Mg2'
_space_group_name_H-M_alt 'P 1'
_space_group_IT_number 1
_cell_length_a 5.087
_cell_length_b 5.087
_cell_length_c 5.087
_cell_angle_alpha 60.00
_cell_angle_beta 60.00
_cell_angle_gamma 60.00
loop_
_space_group_symop_operation_xyz
'x,y,z'
loop_
_atom_site_label
_atom_site_type_symbol
_atom_site_fract_x
_atom_site_fract_y
_atom_site_fract_z
_atom_site_occupancy
Mg1 Mg 0.250 0.250 0.250 1
Mg2 Mg 0.750 0.750 0.750 1
Lu1 Lu 0.000 0.000 0.000 1
Hf1 Hf 0.500 0.500 0.500 1
```

***

Taking the most stable structure as the zero point, the relative energies in kJ/mol of atoms are <i> 0.0; <ii> 1.8.

***

<i>
Material: LuHf2Nb
Method: DFT, GGA-PBE
State: relaxed

Structure (CIF):
```
data_LuHf2Nb
_chemical_formula_sum 'Lu1 Hf2 Nb1'
_space_group_name_H-M_alt 'P 1'
_space_group_IT_number 1
_cell_length_a 3.166
_cell_length_b 3.166
_cell_length_c 10.982
_cell_angle_alpha 81.71
_cell_angle_beta 81.71
_cell_angle_gamma 60.00
loop_
_space_group_symop_operation_xyz
'x,y,z'
loop_
_atom_site_label
_atom_site_type_symbol
_atom_site_fract_x
_atom_site_fract_y
_atom_site_fract_z
_atom_site_occupancy
Nb1 Nb 0.500 0.500 0.500 1
Lu1 Lu 0.000 0.000 0.000 1
Hf1 Hf 0.095 0.095 0.715 1
Hf2 Hf 0.905 0.905 0.285 1
```

***

<ii>
Material: LuHf2Nb
Method: DFT, GGA-PBE
State: relaxed

Structure (CIF):
```
data_LuHf2Nb
_chemical_formula_sum 'Lu1 Hf2 Nb1'
_space_group_name_H-M_alt 'P 1'
_space_group_IT_number 1
_cell_length_a 3.555
_cell_length_b 3.555
_cell_length_c 7.253
_cell_angle_alpha 90.00
_cell_angle_beta 90.00
_cell_angle_gamma 90.00
loop_
_space_group_symop_operation_xyz
'x,y,z'
loop_
_atom_site_label
_atom_site_type_symbol
_atom_site_fract_x
_atom_site_fract_y
_atom_site_fract_z
_atom_site_occupancy
Nb1 Nb 0.500 0.500 0.000 1
Lu1 Lu 0.500 0.500 0.500 1
Hf1 Hf 0.000 0.000 0.795 1
Hf2 Hf 0.000 0.000 0.205 1
```

***

Taking the most stable structure as the zero point, the relative energies in kJ/mol of atoms are <i> 22.9; <ii> 0.0.

***

<i>
Material: LuHf2Nb
Method: DFT, GGA-PBE
State: relaxed

Structure (CIF):
```
data_LuHf2Nb
_chemical_formula_sum 'Lu1 Hf2 Nb1'
_space_group_name_H-M_alt 'P 1'
_space_group_IT_number 1
_cell_length_a 4.413
_cell_length_b 4.505
_cell_length_c 4.505
_cell_angle_alpha 90.00
_cell_angle_beta 90.00
_cell_angle_gamma 90.00
loop_
_space_group_symop_operation_xyz
'x,y,z'
loop_
_atom_site_label
_atom_site_type_symbol
_atom_site_fract_x
_atom_site_fract_y
_atom_site_fract_z
_atom_site_occupancy
Nb1 Nb 0.500 0.500 0.500 1
Lu1 Lu 0.500 0.000 0.000 1
Hf1 Hf 0.000 0.000 0.500 1
Hf2 Hf 0.000 0.500 0.000 1
```

***

<ii>
Material: LuHf2Nb
Method: DFT, GGA-PBE
State: relaxed

Structure (CIF):
```
data_LuHf2Nb
_chemical_formula_sum 'Lu1 Hf2 Nb1'
_space_group_name_H-M_alt 'P 1'
_space_group_IT_number 1
_cell_length_a 5.003
_cell_length_b 5.003
_cell_length_c 5.003
_cell_angle_alpha 60.00
_cell_angle_beta 60.00
_cell_angle_gamma 60.00
loop_
_space_group_symop_operation_xyz
'x,y,z'
loop_
_atom_site_label
_atom_site_type_symbol
_atom_site_fract_x
_atom_site_fract_y
_atom_site_fract_z
_atom_site_occupancy
Nb1 Nb 0.500 0.500 0.500 1
Lu1 Lu 0.000 0.000 0.000 1
Hf1 Hf 0.250 0.250 0.250 1
Hf2 Hf 0.750 0.750 0.750 1
```

***

Taking the most stable structure as the zero point, the relative energies in kJ/mol of atoms are <i> 0.0; <ii> 0.7.

***

<i>
Material: Nd2LuHf
Method: DFT, GGA-PBE
State: relaxed

Structure (CIF):
```
data_Nd2LuHf
_chemical_formula_sum 'Nd2 Lu1 Hf1'
_space_group_name_H-M_alt 'P 1'
_space_group_IT_number 1
_cell_length_a 4.038
_cell_length_b 4.038
_cell_length_c 7.285
_cell_angle_alpha 90.00
_cell_angle_beta 90.00
_cell_angle_gamma 90.00
loop_
_space_group_symop_operation_xyz
'x,y,z'
loop_
_atom_site_label
_atom_site_type_symbol
_atom_site_fract_x
_atom_site_fract_y
_atom_site_fract_z
_atom_site_occupancy
Hf1 Hf 0.500 0.500 0.500 1
Lu1 Lu 0.500 0.500 0.000 1
Nd1 Nd 0.000 0.000 0.728 1
Nd2 Nd 0.000 0.000 0.272 1
```

***

<ii>
Material: Nd2LuHf
Method: DFT, GGA-PBE
State: relaxed

Structure (CIF):
```
data_Nd2LuHf
_chemical_formula_sum 'Nd2 Lu1 Hf1'
_space_group_name_H-M_alt 'P 1'
_space_group_IT_number 1
_cell_length_a 3.366
_cell_length_b 3.366
_cell_length_c 12.309
_cell_angle_alpha 82.14
_cell_angle_beta 82.14
_cell_angle_gamma 60.00
loop_
_space_group_symop_operation_xyz
'x,y,z'
loop_
_atom_site_label
_atom_site_type_symbol
_atom_site_fract_x
_atom_site_fract_y
_atom_site_fract_z
_atom_site_occupancy
Nd1 Nd 0.086 0.086 0.742 1
Nd2 Nd 0.914 0.914 0.258 1
Lu1 Lu 0.500 0.500 0.500 1
Hf1 Hf 0.000 0.000 0.000 1
```

***

<iii>
Material: Nd2LuHf
Method: DFT, GGA-PBE
State: relaxed

Structure (CIF):
```
data_Nd2LuHf
_chemical_formula_sum 'Nd2 Lu1 Hf1'
_space_group_name_H-M_alt 'P 1'
_space_group_IT_number 1
_cell_length_a 4.822
_cell_length_b 4.947
_cell_length_c 4.947
_cell_angle_alpha 90.00
_cell_angle_beta 90.00
_cell_angle_gamma 90.00
loop_
_space_group_symop_operation_xyz
'x,y,z'
loop_
_atom_site_label
_atom_site_type_symbol
_atom_site_fract_x
_atom_site_fract_y
_atom_site_fract_z
_atom_site_occupancy
Nd1 Nd 0.000 0.000 0.500 1
Nd2 Nd 0.000 0.500 0.000 1
Lu1 Lu 0.500 0.500 0.500 1
Hf1 Hf 0.500 0.000 0.000 1
```

***

Taking the most stable structure as the zero point, the relative energies in kJ/mol of atoms are <i> 4.0; <ii> 19.4; <iii> 0.0.